No. 1
Below is a relaxed MgTlRh2 crystal, with properties calculated at the GGA-PBE level.

Values from the calculation:
* calculated volume: 69 Å³/f.u.
* formation enthalpy at 0 K: 0.081 eV/f.u.
* E_tot: -18.6 eV per cell
* Fermi-level density of states: 1.422 states/eV per atom

Cell: 3.4033 3.4033 5.9710 Å, 90.00 90.00 90.00°
With the nearest neighbours (Å) after each atom.
Space group P4mm (No. 99)
Unique sites:
Mg 0.0000 0.0000 0.0000 (multiplicity 1)  5 Rh 2.66-2.74
Tl 0.5000 0.5000 0.6925 (multiplicity 1)  6 Rh 2.78-3.00, 4 Mg 3.03
Rh 0.0000 0.0000 0.4596 (multiplicity 1)  1 Mg 2.74, 4 Tl 2.78, 4 Rh 2.90
Rh 0.5000 0.5000 0.1897 (multiplicity 1)  4 Mg 2.66, 4 Rh 2.90, 1 Tl 2.97

***

No. 2
Below is a relaxed Mg2TlRh crystal, with properties calculated at the GGA-PBE level.

Values from the calculation:
* calculated volume: 81 Å³/f.u.
* formation enthalpy at 0 K: -0.499 eV/f.u.
* E_tot: -40.2 eV per cell
* Fermi-level density of states: 0.401 states/eV per atom

Cell: 3.2290 3.2290 26.9131 Å, 90.00 90.00 120.00°
With the nearest neighbours (Å) after each atom.
Space group R-3m (No. 166, hexagonal axes)
Unique sites:
Mg 0.0000 0.0000 0.2367 (multiplicity 6)  3 Rh 2.65
Tl 0.0000 0.0000 0.0000 (multiplicity 3)  6 Mg 3.20, 6 Tl 3.23
Rh 0.0000 0.0000 0.5000 (multiplicity 3)  6 Mg 2.65